Ba2Ag | PBE-GGA | relaxed

Cell: 6.072 6.072 7.827 Å, 90.00 90.00 120.00°
Fractional positions:
Ba  0.000  0.000  0.000
Ba  0.000  0.000  0.500
Ba  0.333  0.667  0.750
Ba  0.667  0.333  0.250
Ag  0.333  0.667  0.250
Ag  0.667  0.333  0.750

Output
DOS at the Fermi energy   8.30 states/eV per cell
Calculated volume   41.65 Å³/atom
M_tot   0.0 μB per formula unit
Energy relative to the elements   -57 meV/atom
SG   P6_3/mmc

CsMnHg2Br8 | PBE-GGA | relaxed

Cell: 6.930 7.061 10.096 Å, 63.54 85.86 98.24°
Fractional positions:
Cs  0.000  0.000  0.500
Mn  0.000  0.000  0.000
Hg  0.527  0.299  0.711
Hg  0.473  0.701  0.289
Br  0.096  0.671  0.266
Br  0.767  0.730  0.983
Br  0.742  0.064  0.158
Br  0.904  0.329  0.734
Br  0.233  0.270  0.017
Br  0.258  0.936  0.842
Br  0.465  0.702  0.583
Br  0.535  0.298  0.417

Output
Calculated volume   36.04 Å³/atom
Total DFT energy (no corrections)   -32.91 eV per cell
M_tot   4.0 μB per formula unit
SG   P-1